*one*
Below is a relaxed Ac4PrNd crystal, with properties calculated at the PBE-GGA level.

* D(E_F): 9.8 states/eV/cell
* crystal system: monoclinic

Structure (extended XYZ):
```
6
Lattice="-1.023 3.171 4.836 -5.471 0.421 2.132 -0.615 -6.607 7.768" Properties=species:S:1:pos:R:3 pbc="T T T"
Nd 0.000 0.000 0.000
Ac -2.970 -4.436 9.411
Ac -1.190 -3.691 5.734
Pr -3.554 -1.507 7.368
Ac -5.919 0.676 9.002
Ac -4.138 1.421 5.325
```

***

*two*
Below is a relaxed Ac4PrNd crystal, with properties calculated at the PBE-GGA level.

* D(E_F): 8.9 states/eV/cell
* crystal system: cubic

Structure (extended XYZ):
```
6
Lattice="7.193 0.000 0.000 3.597 6.229 0.000 3.597 2.076 5.873" Properties=species:S:1:pos:R:3 pbc="T T T"
Ac 7.193 4.153 0.736
Ac 8.990 5.190 3.670
Ac 5.396 5.190 3.670
Ac 7.193 2.078 3.670
Nd 3.597 2.076 1.468
Pr 0.000 0.000 0.000
```

***

Here is how they stack up, most stable first: *two*, *one*.

***

*one*
Below is a relaxed Ac12Pr7Nd crystal, with properties calculated at the PBE-GGA level.

* D(E_F): 27.3 states/eV/cell
* crystal system: trigonal

Structure (extended XYZ):
```
20
Lattice="-3.533 11.073 -4.044 0.548 -9.030 -8.343 -3.567 -3.151 11.349" Properties=species:S:1:pos:R:3 pbc="T T T"
Ac -4.952 7.735 1.251
Ac -1.589 -4.324 0.966
Ac -3.284 -6.414 5.829
Ac -1.599 -8.843 -2.289
Pr -4.949 -3.695 0.076
Ac -1.573 -2.979 -8.635
Pr -5.948 1.233 1.118
Ac -4.978 1.871 7.597
Nd 0.000 0.000 0.000
Pr -3.276 -0.554 -0.519
Pr -0.603 -2.342 -2.156
Ac -3.544 -3.776 -3.488
Ac -4.962 3.216 -2.004
Pr -1.613 -0.891 2.665
Pr -1.602 2.586 -1.114
Ac -3.007 2.668 2.450
Ac -1.575 0.613 -4.393
Ac -4.976 -1.721 3.355
Ac -3.267 5.306 -6.867
Pr -4.939 -0.217 -3.703
```

***

*two*
Below is a relaxed Ac12Pr7Nd crystal, with properties calculated at the PBE-GGA level.

* D(E_F): 31.9 states/eV/cell
* crystal system: cubic

Structure (extended XYZ):
```
20
Lattice="10.024 0.000 -3.544 -5.012 8.681 -3.544 0.000 0.000 10.632" Properties=species:S:1:pos:R:3 pbc="T T T"
Ac -2.492 8.035 3.524
Ac -1.045 6.821 -3.017
Ac 1.418 6.175 4.071
Ac 3.193 6.821 -0.020
Pr -2.506 4.340 3.544
Pr 2.506 4.340 1.772
Pr 5.012 0.000 3.544
Ac 5.713 6.175 -3.524
Ac 1.819 1.860 3.564
Pr 5.012 0.000 -1.772
Pr 2.506 4.340 -3.544
Pr 0.000 0.000 5.316
Ac 5.385 4.316 3.017
Pr -2.506 4.340 -1.772
Ac -0.373 4.365 0.527
Ac 7.504 0.646 0.020
Ac -0.701 2.505 7.068
Nd 0.000 0.000 0.000
Ac 6.057 1.860 6.561
Ac 3.594 2.505 -0.527
```

***

Here is how they stack up, most stable first: *one*, *two*.

***

*one*
Below is a relaxed Ac2Pr2Nd5 crystal, with properties calculated at the PBE-GGA level.

* D(E_F): 27.9 states/eV/cell
* crystal system: orthorhombic

Structure (extended XYZ):
```
18
Lattice="10.452 0.000 0.000 0.000 8.562 0.000 -5.226 -4.281 7.564" Properties=species:S:1:pos:R:3 pbc="T T T"
Nd 8.568 1.853 0.565
Pr 5.039 5.870 3.782
Nd -1.883 1.853 6.999
Nd -1.922 -0.955 3.782
Nd -3.342 -2.428 6.999
Ac 5.532 0.531 5.694
Nd 2.915 3.347 5.345
Nd 2.311 -0.934 2.219
Pr 0.000 7.904 0.000
Ac 5.532 0.531 1.870
Pr 5.226 3.623 0.000
Nd 7.109 6.134 0.565
Nd 2.311 -0.934 5.345
Nd 2.915 3.347 2.219
Pr 0.187 1.589 3.782
Ac -0.307 4.812 1.870
Nd 7.148 3.326 3.782
Ac -0.307 4.812 5.694
```

***

*two*
Below is a relaxed Ac2Pr2Nd5 crystal, with properties calculated at the PBE-GGA level.

* D(E_F): 14.0 states/eV/cell
* crystal system: monoclinic

Structure (extended XYZ):
```
9
Lattice="3.612 0.000 -0.745 0.166 10.239 0.803 0.048 1.469 9.360" Properties=species:S:1:pos:R:3 pbc="T T T"
Pr 3.174 10.202 6.263
Nd 1.290 3.113 6.253
Ac 1.920 8.419 9.310
Pr 0.651 1.506 3.155
Nd 0.686 5.346 3.325
Ac 1.905 3.289 0.109
Nd 2.536 8.595 3.166
Nd 0.000 0.000 0.000
Nd 3.139 6.363 6.093
```

***

Here is how they stack up, most stable first: *two*, *one*.

***

*one*
Below is a relaxed Ac2Pr2Nd7 crystal, with properties calculated at the PBE-GGA level.

* D(E_F): 17.4 states/eV/cell
* crystal system: monoclinic

Structure (extended XYZ):
```
11
Lattice="-1.522 -7.612 -4.420 -3.077 -0.312 7.370 -6.855 3.296 2.456" Properties=species:S:1:pos:R:3 pbc="T T T"
Nd 0.000 0.000 0.000
Pr -8.341 1.632 7.611
Ac -6.680 -1.404 1.463
Nd -7.044 -5.067 1.695
Nd -8.305 0.782 4.308
Nd -4.409 0.438 3.712
Nd -5.062 -3.583 -1.390
Ac -4.773 -3.225 3.943
Nd -3.149 -5.411 1.099
Nd -6.391 -1.046 6.797
Pr -3.112 -6.261 -2.204
```

***

*two*
Below is a relaxed Ac2Pr2Nd7 crystal, with properties calculated at the PBE-GGA level.

* D(E_F): 17.6 states/eV/cell
* crystal system: monoclinic

Structure (extended XYZ):
```
11
Lattice="8.915 -1.897 0.194 -1.696 5.884 1.508 -0.850 1.897 8.876" Properties=species:S:1:pos:R:3 pbc="T T T"
Nd 3.265 0.414 0.898
Nd 4.233 1.825 4.357
Nd 7.554 0.414 5.722
Ac -0.087 6.136 8.198
Ac 6.455 -0.252 2.381
Nd -1.186 5.470 4.856
Nd 2.136 4.059 6.221
Nd 3.103 5.470 9.680
Pr 5.379 2.942 7.757
Pr 0.989 2.942 2.821
Nd 0.000 0.000 0.000
```

***

Here is how they stack up, most stable first: *two*, *one*.